NpSiB | GGA-PBE | optimized geometry

Calculated values
- final energy (eV/atom) = -7.43

Unit cell a=5.934 b=5.934 c=5.934 alpha=90.00 beta=90.00 gamma=90.00
Space group F-43m (No. 216)
Inequivalent atoms, fractional coordinates:
Np (0.000, 0.000, 0.000) x4
Si (0.250, 0.250, 0.250) x4
B (0.250, 0.250, 0.750) x4